a.
Tl5SbPb: optimized geometry, PBE.

Unit cell a=8.4842 b=8.4843 c=8.4843 alpha=77.12 beta=68.62 gamma=114.36
Atoms (fractional coordinates):
Tl: 0.7587 0.5000 0.2414
Tl: 0.2413 0.5000 0.7586
Tl: 0.4559 0.7089 0.2470
Tl: 0.7413 0.0000 0.7587
Tl: 0.2500 0.2331 0.5169
Tl: 0.2587 0.0000 0.2413
Tl: 0.9559 0.7030 0.7530
Tl: 0.5441 0.2911 0.7530
Tl: 0.7500 0.7669 0.4831
Tl: 0.0441 0.2970 0.2470
Pb: 0.5000 0.0000 0.5000
Pb: 0.0000 0.0000 0.0000
Sb: 0.7500 0.2301 0.0199
Sb: 0.2500 0.7699 0.9801

## Properties
**Space group**: Imma (74)
**DOS(E_F)**: 4.12 states/eV/f.u.

b.
Tl5SbPb: optimized geometry, PBE.

Unit cell a=6.7505 b=6.7505 c=12.0861 alpha=80.10 beta=80.10 gamma=57.53
Atoms (fractional coordinates):
Tl: 0.6999 0.6032 0.9646
Tl: 0.6032 0.6999 0.4646
Tl: 0.2940 0.7060 0.7500
Tl: 0.3968 0.3001 0.5354
Tl: 0.7060 0.2940 0.2500
Tl: 0.3001 0.3968 0.0354
Tl: 0.6966 0.8338 0.1843
Tl: 0.3034 0.1662 0.8157
Tl: 0.8338 0.6966 0.6843
Tl: 0.1662 0.3034 0.3157
Sb: 0.0000 0.0000 0.5000
Sb: 0.0000 0.0000 0.0000
Pb: 0.7959 0.2041 0.7500
Pb: 0.2041 0.7959 0.2500

## Properties
**Space group**: C2/c (15)
**DOS(E_F)**: 3.50 states/eV/f.u.

What should be chosen as the least stable of them? Choose b.

a.
TlSbPb6: optimized geometry, PBE.

Unit cell a=6.5425 b=6.5425 c=6.5425 alpha=88.40 beta=88.40 gamma=88.40
Atoms (fractional coordinates):
Tl: 0.0000 0.0000 0.0000
Pb: 0.8321 0.8321 0.4488
Pb: 0.4488 0.8321 0.8321
Pb: 0.5512 0.1679 0.1679
Pb: 0.1679 0.5512 0.1679
Pb: 0.8321 0.4488 0.8321
Pb: 0.1679 0.1679 0.5512
Sb: 0.5000 0.5000 0.5000

## Properties
**Space group**: R-3m (166)
**DOS(E_F)**: 4.39 states/eV/f.u.

b.
TlSbPb6: optimized geometry, PBE.

Unit cell a=5.9579 b=6.8879 c=6.8879 alpha=117.54 beta=90.00 gamma=90.00
Atoms (fractional coordinates):
Pb: 0.0000 0.7362 0.2638
Pb: 0.0000 0.2316 0.2316
Pb: 0.0000 0.2638 0.7362
Pb: 0.5000 0.0000 0.5000
Pb: 0.5000 0.5000 0.0000
Pb: 0.0000 0.7684 0.7684
Sb: 0.5000 0.0000 0.0000
Tl: 0.5000 0.5000 0.5000

## Properties
**Space group**: Cmmm (65)
**DOS(E_F)**: 5.32 states/eV/f.u.

What should be chosen as the least stable of them? Choose a.

a.
Tl8Sb2Pb: optimized geometry, PBE.

Unit cell a=6.0461 b=8.4851 c=8.4851 alpha=63.75 beta=79.42 gamma=79.42
Atoms (fractional coordinates):
Tl: 0.2260 0.3738 0.7537
Tl: 0.3209 0.3475 0.3475
Tl: 0.8953 0.2272 0.2272
Tl: 0.7740 0.2463 0.6262
Tl: 0.1047 0.7728 0.7728
Tl: 0.2260 0.7537 0.3738
Tl: 0.7740 0.6262 0.2463
Tl: 0.6791 0.6525 0.6525
Sb: 0.4561 0.1092 0.1092
Sb: 0.5439 0.8908 0.8908
Pb: 0.0000 0.0000 0.0000

## Properties
**Space group**: C2/m (12)
**DOS(E_F)**: 3.74 states/eV/f.u.

b.
Tl8Sb2Pb: optimized geometry, PBE.

Unit cell a=5.3269 b=8.0029 c=9.5876 alpha=114.65 beta=106.13 gamma=90.00
Atoms (fractional coordinates):
Tl: 0.0000 0.7112 0.0001
Tl: 0.3461 0.1177 0.6922
Tl: 0.6539 0.4258 0.3077
Tl: 0.6539 0.8823 0.3078
Tl: 0.8360 0.8360 0.6721
Tl: 0.3461 0.5742 0.6923
Tl: 0.1640 0.1640 0.3279
Tl: 0.0000 0.2888 0.9999
Pb: 0.5000 0.0000 0.0000
Sb: 0.1903 0.6904 0.3807
Sb: 0.8097 0.3096 0.6193

## Properties
**Space group**: Immm (71)
**DOS(E_F)**: 2.83 states/eV/f.u.

What should be chosen as the least stable of them? Choose a.

a.
Tl7Sb2Pb2: optimized geometry, PBE.

Unit cell a=9.1825 b=6.7222 c=6.7222 alpha=119.58 beta=89.33 gamma=89.33
Atoms (fractional coordinates):
Tl: 0.5101 0.7471 0.7471
Tl: 0.1799 0.5051 0.0120
Tl: 0.1799 0.0120 0.5051
Tl: 0.0000 0.0000 0.0000
Tl: 0.8201 0.4949 0.9880
Tl: 0.4899 0.2529 0.2529
Tl: 0.8201 0.9880 0.4949
Pb: 0.5000 0.7531 0.2469
Pb: 0.5000 0.2469 0.7531
Sb: 0.1560 0.5069 0.5069
Sb: 0.8440 0.4931 0.4931

## Properties
**Space group**: C2/m (12)
**DOS(E_F)**: 4.65 states/eV/f.u.

b.
Tl7Sb2Pb2: optimized geometry, PBE.

Unit cell a=6.2033 b=7.7713 c=9.1102 alpha=77.20 beta=57.29 gamma=80.52
Atoms (fractional coordinates):
Tl: 0.6351 0.4794 0.2344
Tl: 0.5318 0.9331 0.0669
Tl: 0.8537 0.4929 0.8094
Tl: 0.1559 0.1906 0.5071
Tl: 0.8506 0.0553 0.2463
Tl: 0.1522 0.7537 0.9447
Tl: 0.3489 0.7656 0.5206
Pb: 0.4809 0.3103 0.6897
Pb: 0.9869 0.6183 0.3817
Sb: 0.7139 0.9154 0.6608
Sb: 0.2901 0.3392 0.0846

## Properties
**Space group**: Cm (8)
**DOS(E_F)**: 5.17 states/eV/f.u.

What should be chosen as the least stable of them? Choose a.

a.
Tl3Sb2Pb: optimized geometry, PBE.

Unit cell a=4.8301 b=9.3264 c=10.5252 alpha=68.28 beta=76.74 gamma=74.99
Atoms (fractional coordinates):
Pb: 0.5875 0.5124 0.3127
Pb: 0.4125 0.4876 0.6873
Tl: 0.6237 0.7979 0.9546
Tl: 0.7824 0.8212 0.6141
Tl: 0.3763 0.2021 0.0454
Tl: 0.2176 0.1788 0.3859
Tl: 0.0374 0.1201 0.8051
Tl: 0.9626 0.8799 0.1949
Sb: 0.6077 0.2023 0.5823
Sb: 0.3923 0.7977 0.4177
Sb: 0.8248 0.4604 0.8899
Sb: 0.1752 0.5396 0.1101

## Properties
**Space group**: C2/m (12)
**DOS(E_F)**: 1.80 states/eV/f.u.

b.
Tl3Sb2Pb: optimized geometry, PBE.

Unit cell a=4.9334 b=7.8744 c=10.0557 alpha=90.00 beta=90.00 gamma=90.00
Atoms (fractional coordinates):
Tl: 0.0000 0.9600 0.0754
Tl: 0.5000 0.1520 0.8261
Tl: 0.0000 0.3626 0.3140
Tl: 0.5000 0.6520 0.1739
Tl: 0.0000 0.4600 0.9246
Tl: 0.0000 0.8626 0.6860
Pb: 0.5000 0.0318 0.4284
Pb: 0.5000 0.5318 0.5716
Sb: 0.5000 0.2215 0.1547
Sb: 0.5000 0.7215 0.8453
Sb: 0.0000 0.7721 0.3793
Sb: 0.0000 0.2721 0.6207

## Properties
**Space group**: Pmc2_1 (26)
**DOS(E_F)**: 2.78 states/eV/f.u.

What should be chosen as the least stable of them? Choose a.

a.
Tm2SbPb: optimized geometry, PBE.

Unit cell a=4.1971 b=4.1971 c=8.0886 alpha=74.96 beta=74.96 gamma=60.00
Atoms (fractional coordinates):
Sb: 0.0000 0.0000 0.0000
Tm: 0.2549 0.2549 0.2353
Tm: 0.7451 0.7451 0.7647
Pb: 0.5000 0.5000 0.5000

## Properties
**Space group**: R-3m (166)
**DOS(E_F)**: 0.67 states/eV/f.u.

b.
Tm2SbPb: optimized geometry, PBE.

Unit cell a=3.9661 b=3.9661 c=6.8524 alpha=90.00 beta=90.00 gamma=90.00
Atoms (fractional coordinates):
Pb: 0.5000 0.5000 0.5000
Tm: 0.0000 0.0000 0.2406
Tm: 0.0000 0.0000 0.7594
Sb: 0.5000 0.5000 0.0000

## Properties
**Space group**: P4/mmm (123)
**DOS(E_F)**: 3.10 states/eV/f.u.

What should be chosen as the least stable of them? Choose b.

a.
Tm5Sb2Pb2: optimized geometry, PBE.

Unit cell a=8.1501 b=8.1175 c=8.6388 alpha=118.02 beta=90.00 gamma=90.00
Each line ends with the local moment (μB).
Atoms (fractional coordinates):
Tm: 0.3396 0.7000 0.7261  0.06
Tm: 0.8396 0.8000 0.2739  0.06
Tm: 0.1604 0.2000 0.7261  0.06
Tm: 0.1604 0.4739 0.2739  0.06
Tm: 0.6604 0.3000 0.2739  0.06
Tm: 0.0000 0.0000 0.0000  0.03
Tm: 0.5000 0.5000 0.0000  0.03
Tm: 0.8396 0.5261 0.7261  0.06
Tm: 0.6604 0.0261 0.7261  0.06
Tm: 0.3396 0.9739 0.2739  0.06
Sb: 0.5000 0.7016 0.4032  0.00
Sb: 0.5000 0.2984 0.5968  0.00
Sb: 0.0000 0.7984 0.5968  0.00
Sb: 0.0000 0.2016 0.4032  0.00
Pb: 0.1421 0.6422 0.0000  0.00
Pb: 0.6421 0.8578 0.0000  0.00
Pb: 0.8579 0.3578 0.0000  0.00
Pb: 0.3579 0.1422 0.0000  0.00

## Properties
**Space group**: Cmce (64)
**DOS(E_F)**: 6.77 states/eV/f.u.

b.
Tm5Sb2Pb2: optimized geometry, PBE.

Unit cell a=7.4948 b=8.2376 c=10.5261 alpha=113.04 beta=110.86 gamma=90.00
Atoms (fractional coordinates):
Sb: 0.5746 0.1312 0.2011
Sb: 0.4254 0.9301 0.7989
Sb: 0.1264 0.6312 0.2011
Sb: 0.8736 0.4301 0.7989
Tm: 0.5041 0.2002 0.6949
Tm: 0.0702 0.7277 0.5000
Tm: 0.1320 0.1633 0.8559
Tm: 0.7761 0.8074 0.1441
Tm: 0.2239 0.6633 0.8559
Tm: 0.9298 0.2277 0.5000
Tm: 0.8680 0.3074 0.1441
Tm: 0.4959 0.5053 0.3051
Tm: 0.3093 0.0053 0.3051
Tm: 0.6907 0.7002 0.6949
Pb: 0.0000 0.9628 0.0000
Pb: 0.5000 0.4628 0.0000
Pb: 0.2866 0.4081 0.5000
Pb: 0.7134 0.9081 0.5000

## Properties
**Space group**: Ima2 (46)
**DOS(E_F)**: 4.38 states/eV/f.u.

What should be chosen as the least stable of them? Choose b.

a.
USb2Pb: optimized geometry, PBE.

Unit cell a=3.3023 b=3.3023 c=11.9730 alpha=82.07 beta=82.07 gamma=60.00
Each line ends with the local moment (μB).
Atoms (fractional coordinates):
Sb: 0.0923 0.0923 0.7230  -0.01
Sb: 0.9077 0.9077 0.2770  -0.01
U: 0.5000 0.5000 0.5000  2.08
Pb: 0.0000 0.0000 0.0000  0.00

## Properties
**Space group**: R-3m (166)
**DOS(E_F)**: 5.10 states/eV/f.u.

b.
USb2Pb: optimized geometry, PBE.

Unit cell a=4.4107 b=4.4107 c=8.1477 alpha=74.30 beta=74.30 gamma=60.00
Each line ends with the local moment (μB).
Atoms (fractional coordinates):
Sb: 0.0762 0.0762 0.7713  -0.07
Sb: 0.2593 0.2593 0.2222  -0.08
Pb: 0.4972 0.4972 0.5084  -0.01
U: 0.6673 0.6673 0.9981  2.12

## Properties
**Space group**: R3m (160)
**DOS(E_F)**: 6.69 states/eV/f.u.

c.
USb2Pb: optimized geometry, PBE.

Unit cell a=4.0547 b=4.0547 c=6.6410 alpha=90.00 beta=90.00 gamma=90.00
Each line ends with the local moment (μB).
Atoms (fractional coordinates):
Sb: 0.0000 0.0000 0.7716  -0.05
Sb: 0.0000 0.0000 0.2284  -0.05
Pb: 0.5000 0.5000 0.5000  0.01
U: 0.5000 0.5000 0.0000  2.19

## Properties
**Space group**: P4/mmm (123)
**DOS(E_F)**: 6.16 states/eV/f.u.

What should be chosen as the least stable of them? Choose a.

a.
VSb2Pb: optimized geometry, PBE.

Unit cell a=3.3793 b=3.3793 c=10.5688 alpha=80.80 beta=80.80 gamma=60.00
Atoms (fractional coordinates):
Pb: 0.0000 0.0000 0.0000
Sb: 0.1054 0.1054 0.6837
Sb: 0.8946 0.8946 0.3163
V: 0.5000 0.5000 0.5000

## Properties
**Space group**: R-3m (166)
**DOS(E_F)**: 1.21 states/eV/f.u.

b.
VSb2Pb: optimized geometry, PBE.

Unit cell a=6.4144 b=6.4144 c=8.1639 alpha=66.87 beta=66.87 gamma=90.00
Each line ends with the local moment (μB).
Atoms (fractional coordinates):
Sb: 0.8750 0.8122 0.7500  -0.10
Sb: 0.1878 0.6250 0.2500  -0.10
Sb: 0.3750 0.4378 0.7500  -0.10
Sb: 0.5622 0.1250 0.2500  -0.10
V: 0.5000 0.5000 0.0000  1.64
V: 0.2500 0.7500 0.5000  1.64
Pb: 0.0000 0.0000 0.0000  -0.01
Pb: 0.7500 0.2500 0.5000  -0.01

## Properties
**Space group**: I-42d (122)
**DOS(E_F)**: 2.66 states/eV/f.u.

c.
VSb2Pb: optimized geometry, PBE.

Unit cell a=5.2227 b=5.2227 c=5.2227 alpha=60.00 beta=60.00 gamma=60.00
Each line ends with the local moment (μB).
Atoms (fractional coordinates):
Pb: 0.5000 0.5000 0.5000  -0.04
Sb: 0.7500 0.7500 0.7500  -0.07
Sb: 0.2500 0.2500 0.2500  -0.07
V: 0.0000 0.0000 0.0000  2.54

## Properties
**Space group**: Fm-3m (225)
**DOS(E_F)**: 2.97 states/eV/f.u.

d.
VSb2Pb: optimized geometry, PBE.

Unit cell a=3.4038 b=3.4038 c=8.2904 alpha=90.00 beta=90.00 gamma=90.00
Each line ends with the local moment (μB).
Atoms (fractional coordinates):
V: 0.5000 0.5000 0.0000  1.32
Pb: 0.5000 0.5000 0.5000  -0.01
Sb: 0.0000 0.0000 0.8098  -0.02
Sb: 0.0000 0.0000 0.1902  -0.02

## Properties
**Space group**: P4/mmm (123)
**DOS(E_F)**: 3.59 states/eV/f.u.

What should be chosen as the least stable of them? Choose c.

a.
V2SbPb: optimized geometry, PBE.

Unit cell a=7.5435 b=7.5435 c=6.2051 alpha=52.57 beta=52.57 gamma=90.00
Each line ends with the local moment (μB).
Atoms (fractional coordinates):
V: 0.8750 0.8542 0.7500  2.15
V: 0.1458 0.6250 0.2500  2.15
V: 0.6042 0.1250 0.2500  2.15
V: 0.3750 0.3958 0.7500  2.15
Sb: 0.5000 0.5000 0.0000  -0.11
Sb: 0.2500 0.7500 0.5000  -0.11
Pb: 0.0000 0.0000 0.0000  -0.10
Pb: 0.7500 0.2500 0.5000  -0.10

## Properties
**Space group**: I-42d (122)
**DOS(E_F)**: 7.90 states/eV/f.u.

b.
V2SbPb: optimized geometry, PBE.

Unit cell a=4.7195 b=4.7195 c=4.7195 alpha=60.00 beta=60.00 gamma=60.00
Atoms (fractional coordinates):
V: 0.2500 0.2500 0.2500
V: 0.7500 0.7500 0.7500
Sb: 0.0000 0.0000 0.0000
Pb: 0.5000 0.5000 0.5000

## Properties
**Space group**: Fm-3m (225)
**DOS(E_F)**: 3.34 states/eV/f.u.

What should be chosen as the least stable of them? Choose a.